No. 1
Material: Tb4Pr3Hg
Method: DFT, PBE
State: optimized geometry

Cell lengths 3.649, 3.649, 19.266 Å; angles 90.00, 90.00, 90.00 degrees
Space group P4/mmm (No. 123)
Unique sites:
Tb 0.000 0.000 0.102 (multiplicity 2)
Tb 0.000 0.000 0.367 (multiplicity 2)
Pr 0.500 0.500 0.234 (multiplicity 2)
Pr 0.500 0.500 0.500 (multiplicity 1)
Hg 0.500 0.500 0.000 (multiplicity 1)

Calculated values
Formation energy from the elements, eV per atom: -0.1103
E, eV/atom: -4.26
ρ, g/cm3: 8.15

---

No. 2
Material: B2C
Method: DFT, PBE
State: optimized geometry

Cell lengths 10.980, 2.662, 5.800 Å; angles 90.00, 100.71, 90.00 degrees
Space group Cm (No. 8)
Unique sites:
B 0.000 0.000 0.000 (multiplicity 2)
B 0.004 0.000 0.502 (multiplicity 2)
B 0.125 0.500 0.054 (multiplicity 2)
B 0.209 0.500 0.777 (multiplicity 2)
B 0.224 0.000 0.975 (multiplicity 2)
B 0.240 0.000 0.298 (multiplicity 2)
B 0.335 0.000 0.823 (multiplicity 2)
B 0.415 0.500 0.720 (multiplicity 2)
C 0.108 0.500 0.541 (multiplicity 2)
C 0.182 0.500 0.350 (multiplicity 2)
C 0.359 0.000 0.168 (multiplicity 2)
C 0.432 0.500 0.228 (multiplicity 2)

Calculated values
Formation energy from the elements, eV per atom: 0.4446
E, eV/atom: -7.08
Offset from the most stable computed form, eV per atom: 0.2593
ρ, g/cm3: 2.68